This record from Alexandria describes a relaxed structure of NiAg2. The functional is PBE.

Geometry as CIF:
```
data_NiAg2
_space_group_name_H-M_alt 'P -6 2 m'
_space_group_IT_number 189
_space_group_name_Hall 'P -6 -2'
_cell_length_a 7.6165
_cell_length_b 7.6165
_cell_length_c 2.7943
_cell_angle_alpha 90.00
_cell_angle_beta 90.00
_cell_angle_gamma 120.00
loop_
_atom_site_label
_atom_site_type_symbol
_atom_site_fract_x
_atom_site_fract_y
_atom_site_fract_z
_atom_site_occupancy
Ni1 Ni 0.0000 0.0000 0.0000 1
Ni2 Ni 0.3333 0.6667 0.5000 1
Ag1 Ag 0.0000 0.2990 0.5000 1
Ag2 Ag 0.0000 0.6327 0.0000 1
```

This record from Alexandria describes a relaxed structure of NiAg. The functional is PBE.

Geometry as CIF:
```
data_NiAg
_space_group_name_H-M_alt 'P 4/n m m'
_space_group_IT_number 129
_cell_length_a 2.8095
_cell_length_b 2.8095
_cell_length_c 7.3138
_cell_angle_alpha 90.00
_cell_angle_beta 90.00
_cell_angle_gamma 90.00
loop_
_space_group_symop_operation_xyz
'x,y,z'
'-x,-y,-z'
'-y+1/2,x,z'
'y+1/2,-x,-z'
'-x+1/2,-y+1/2,z'
'x+1/2,y+1/2,-z'
'y,-x+1/2,z'
'-y,x+1/2,-z'
'x+1/2,-y,-z'
'-x+1/2,y,z'
'-y,-x,-z'
'y,x,z'
'-x,y+1/2,-z'
'x,-y+1/2,z'
'y+1/2,x+1/2,-z'
'-y+1/2,-x+1/2,z'
loop_
_atom_site_label
_atom_site_type_symbol
_atom_site_fract_x
_atom_site_fract_y
_atom_site_fract_z
_atom_site_occupancy
Ni1 Ni 0.2500 0.2500 0.0918 1
Ag1 Ag 0.2500 0.2500 0.6506 1
```

This record from Alexandria describes a relaxed structure of NiAg2. The functional is PBE.

Geometry as CIF:
```
data_NiAg2
_space_group_name_H-M_alt 'P n m a'
_space_group_IT_number 62
_cell_length_a 5.6177
_cell_length_b 3.9378
_cell_length_c 8.4567
_cell_angle_alpha 90.00
_cell_angle_beta 90.00
_cell_angle_gamma 90.00
loop_
_space_group_symop_operation_xyz
'x,y,z'
'-x,-y,-z'
'-x+1/2,-y,z+1/2'
'x+1/2,y,-z+1/2'
'x+1/2,-y+1/2,-z+1/2'
'-x+1/2,y+1/2,z+1/2'
'-x,y+1/2,-z'
'x,-y+1/2,z'
loop_
_atom_site_label
_atom_site_type_symbol
_atom_site_fract_x
_atom_site_fract_y
_atom_site_fract_z
_atom_site_occupancy
Ni1 Ni 0.1129 0.2500 0.0733 1
Ag1 Ag 0.1176 0.2500 0.7549 1
Ag2 Ag 0.1326 0.2500 0.4189 1
```

no.,final energy (eV per atom),formation energy from the elements (meV per atom)
1,-3.578,250
2,-4.143,173
3,-3.597,231